Below is a geometry-optimized Ga2Pb5Cl12 structure, with properties calculated at the PBE level.

Calculated values
Crystal system ... monoclinic
V ... 567.7 Å³/cell
DOS at the Fermi energy ... 0.000 states/eV per atom
Symmetry ... C2/m
Raw formation energy ... -1018 meV/atom

Cell: 7.4291 9.1059 9.5496 Å, 104.35 90.00 114.07°
Closest atoms and distances in Å follow each position.
Atoms (fractional coordinates):
Cl 0.9095 0.3081 0.5727  4 Pb 3.00-3.18
Cl 0.0777 0.6394 0.8967  1 Ga 2.89, 3 Pb 2.94-3.15
Cl 0.4955 0.9910 0.7225  2 Pb 2.85-2.95, 2 Ga 3.17
Cl 0.5045 0.0090 0.2775  2 Pb 2.85-2.95, 2 Ga 3.17
Cl 0.9897 0.9794 0.1992  2 Ga 2.76, 1 Pb 2.83
Cl 0.6014 0.6919 0.4273  4 Pb 3.00-3.18
Cl 0.9223 0.3606 0.1033  1 Ga 2.89, 3 Pb 2.94-3.15
Cl 0.0103 0.0206 0.8008  2 Ga 2.76, 1 Pb 2.83
Cl 0.3986 0.3081 0.5727  4 Pb 3.00-3.18
Cl 0.4384 0.3606 0.1033  1 Ga 2.89, 3 Pb 2.94-3.15
Cl 0.5616 0.6394 0.8967  1 Ga 2.89, 3 Pb 2.94-3.15
Cl 0.0905 0.6919 0.4273  4 Pb 3.00-3.18
Pb 0.6796 0.3592 0.8314  7 Cl 2.95-3.15
Pb 0.3204 0.6408 0.1686  7 Cl 2.95-3.15
Pb 0.3173 0.6347 0.6518  7 Cl 2.85-3.18
Pb 0.0000 0.0000 0.5000  6 Cl 2.83-3.06
Pb 0.6827 0.3654 0.3482  7 Cl 2.85-3.18
Ga 0.2626 0.0000 0.0000  4 Cl 2.76-2.89
Ga 0.7374 0.0000 0.0000  4 Cl 2.76-2.89